Record 1
Here is VAgBiP2 after structural relaxation from Alexandria via LeMat-Bulk. Energies are from PBE-GGA.

The structure in POSCAR format:
```
VAgBiP2
1.0
4.720 0.000 0.000
0.000 5.497 0.000
0.000 0.000 4.720
P V Ag Bi
2 1 1 1
direct
0.500 0.000 0.000
0.000 0.000 0.500
0.500 0.500 0.500
0.000 0.000 0.000
0.000 0.500 0.000
```

ΔH_f (0 K)   136.5 kJ per mole of atoms
Magnetic moment   0.07 μB/f.u.
Symmetry   P4/mmm

Record 2
Here is ZrAg2BiP after structural relaxation from Alexandria via LeMat-Bulk. Energies are from PBE-GGA.

The structure in POSCAR format:
```
ZrAg2BiP
1.0
-1.228 2.013 4.755
4.202 -1.719 1.812
2.418 4.543 -1.299
Ag P Zr Bi
2 1 1 1
direct
0.500 0.000 0.000
0.000 0.000 0.500
0.000 0.500 0.000
0.000 0.000 0.000
0.500 0.500 0.500
```

ΔH_f (0 K)   65.3 kJ per mole of atoms
Magnetic moment   0.00 μB/f.u.
Symmetry   P4/mmm

Record 3
Here is Zr2AgBiP after structural relaxation from Alexandria via LeMat-Bulk. Energies are from PBE-GGA.

The structure in POSCAR format:
```
Zr2AgBiP
1.0
5.490 0.000 0.000
0.000 5.180 0.000
0.000 0.000 5.490
Ag Zr Bi P
1 2 1 1
direct
0.500 0.500 0.500
0.500 0.000 0.000
0.000 0.000 0.500
0.000 0.000 0.000
0.000 0.500 0.000
```

ΔH_f (0 K)   123.2 kJ per mole of atoms
Magnetic moment   0.83 μB/f.u.
Symmetry   P4/mmm